The following is a DFT calculation (PBE) of a geometry-optimized LaPbBr structure.

Structure (POSCAR):
```
LaPbBr
1.0
-1.8339 1.8339 7.5485
1.8339 -1.8339 7.5485
1.8339 1.8339 -7.5485
La Pb Br
1 1 1
direct
0.0000 0.0000 0.0000
0.6645 0.6645 0.0000
0.3856 0.3856 0.0000
```

Calculated values
The value obtained for the spin magnetization is 0.00 μB per formula unit. The density is 6.967 g/cm³. Its raw total energy is -4.278 eV/atom. Its distance to the lowest polymorph of the same formula is 0.00 kcal/mol of atoms.